1.
Crystalline Pa2Ga2Fe4C at its relaxed geometry, computed with PBE.

Fermi-level density of states ... 8.89 states/eV/f.u.
ΔH_f (0 K) ... 0.0691 eV/atom
Magnetic moment ... 0.00 μB/cell

```
data_Pa2Ga2Fe4C
_cell_length_a 5.8083
_cell_length_b 5.8083
_cell_length_c 7.8350
_cell_angle_alpha 90.00
_cell_angle_beta 90.00
_cell_angle_gamma 90.00
_symmetry_space_group_name_H-M 'I 4/m m m'
_symmetry_Int_Tables_number 139
_symmetry_space_group_name_Hall '-I 4 2'
loop_
_atom_site_label
_atom_site_fract_x
_atom_site_fract_y
_atom_site_fract_z
Pa1 0.0000 0.0000 0.2107
Ga1 0.0000 0.5000 0.2500
Fe1 0.2439 0.2439 0.5000
C1 0.0000 0.0000 0.5000
```

=====

2.
Crystalline NdDy2CdHg4 at its relaxed geometry, computed with PBE.

Fermi-level density of states ... 5.82 states/eV/f.u.
ΔH_f (0 K) ... -0.4118 eV/atom
Magnetic moment ... 0.00 μB/cell

```
data_NdDy2CdHg4
_cell_length_a 5.1266
_cell_length_b 5.1266
_cell_length_c 27.0277
_cell_angle_alpha 90.00
_cell_angle_beta 90.00
_cell_angle_gamma 120.00
_symmetry_space_group_name_H-M 'R -3 m'
_symmetry_Int_Tables_number 166
_symmetry_space_group_name_Hall '-R 3 2"'
loop_
_atom_site_label
_atom_site_fract_x
_atom_site_fract_y
_atom_site_fract_z
Nd1 0.0000 0.0000 0.0000
Dy1 0.0000 0.0000 0.2400
Cd1 0.0000 0.0000 0.5000
Hg1 0.0000 0.0000 0.1238
Hg2 0.0000 0.0000 0.3774
```

=====

3.
Crystalline RbSbAsSe2 at its relaxed geometry, computed with PBE.

Fermi-level density of states ... 7.79 states/eV/f.u.
Relative energy among the computed polymorphs ... 1.3797 eV/atom
Magnetic moment ... 0.29 μB/cell
E_form (uncorrected) ... 6.7 eV/f.u.

```
data_RbSbAsSe2
_cell_length_a 5.6920
_cell_length_b 5.6920
_cell_length_c 5.5425
_cell_angle_alpha 90.00
_cell_angle_beta 90.00
_cell_angle_gamma 90.00
_symmetry_space_group_name_H-M 'P 4/m m m'
_symmetry_Int_Tables_number 123
_symmetry_space_group_name_Hall '-P 4 2'
loop_
_atom_site_label
_atom_site_fract_x
_atom_site_fract_y
_atom_site_fract_z
Rb1 0.0000 0.0000 0.0000
Sb1 0.5000 0.5000 0.5000
As1 0.0000 0.0000 0.5000
Se1 0.0000 0.5000 0.0000
```

=====

4.
Crystalline ErAu12 at its relaxed geometry, computed with PBE.

Fermi-level density of states ... 11.92 states/eV/f.u.
ΔH_f (0 K) ... 0.5485 eV/atom
Magnetic moment ... 0.00 μB/cell

```
data_ErAu12
_cell_length_a 11.4139
_cell_length_b 11.4139
_cell_length_c 11.4139
_cell_angle_alpha 90.00
_cell_angle_beta 90.00
_cell_angle_gamma 90.00
_symmetry_space_group_name_H-M 'F m -3 m'
_symmetry_Int_Tables_number 225
_symmetry_space_group_name_Hall '-F 4 2 3'
loop_
_atom_site_label
_atom_site_fract_x
_atom_site_fract_y
_atom_site_fract_z
Er1 0.0000 0.0000 0.0000
Au1 0.0000 0.1696 0.3304
```

=====

5.
Crystalline CuTe2As at its relaxed geometry, computed with PBE.

Fermi-level density of states ... 1.74 states/eV/f.u.
Magnetic moment ... 0.00 μB/cell
E_form (uncorrected) ... 1.3 eV/f.u.

```
data_CuTe2As
_cell_length_a 3.8886
_cell_length_b 8.6585
_cell_length_c 7.4984
_cell_angle_alpha 90.00
_cell_angle_beta 90.00
_cell_angle_gamma 90.00
_symmetry_space_group_name_H-M 'C m m m'
_symmetry_Int_Tables_number 65
_symmetry_space_group_name_Hall '-C 2 2'
loop_
_atom_site_label
_atom_site_fract_x
_atom_site_fract_y
_atom_site_fract_z
Cu1 0.0000 0.0000 0.0000
Te1 0.0000 0.5000 0.2348
As1 0.0000 0.0000 0.5000
```

=====

6.
Crystalline PrThBr2 at its relaxed geometry, computed with PBE.

Fermi-level density of states ... 5.25 states/eV/f.u.
Magnetic moment ... 0.98 μB/cell
E_form (uncorrected) ... -3.7 eV/f.u.

```
data_PrThBr2
_cell_length_a 3.6838
_cell_length_b 3.6838
_cell_length_c 31.8566
_cell_angle_alpha 90.00
_cell_angle_beta 90.00
_cell_angle_gamma 120.00
_symmetry_space_group_name_H-M 'R -3 m'
_symmetry_Int_Tables_number 166
_symmetry_space_group_name_Hall '-R 3 2"'
loop_
_atom_site_label
_atom_site_fract_x
_atom_site_fract_y
_atom_site_fract_z
Pr1 0.0000 0.0000 0.0000
Th1 0.0000 0.0000 0.5000
Br1 0.0000 0.0000 0.0968
```

=====

7.
Crystalline TaTeMoI2 at its relaxed geometry, computed with PBE.

Fermi-level density of states ... 3.85 states/eV/f.u.
Relative energy among the computed polymorphs ... 0.0000 eV/atom
Magnetic moment ... 5.79 μB/cell
E_form (uncorrected) ... 5.4 eV/f.u.

```
data_TaTeMoI2
_cell_length_a 5.5547
_cell_length_b 5.5547
_cell_length_c 5.4454
_cell_angle_alpha 90.00
_cell_angle_beta 90.00
_cell_angle_gamma 90.00
_symmetry_space_group_name_H-M 'P 4/m m m'
_symmetry_Int_Tables_number 123
_symmetry_space_group_name_Hall '-P 4 2'
loop_
_atom_site_label
_atom_site_fract_x
_atom_site_fract_y
_atom_site_fract_z
Ta1 0.0000 0.0000 0.0000
Te1 0.0000 0.0000 0.5000
Mo1 0.5000 0.5000 0.5000
I1 0.0000 0.5000 0.0000
```

=====

8.
Crystalline BaBe2GaIr at its relaxed geometry, computed with PBE.

Fermi-level density of states ... 1.41 states/eV/f.u.
ΔH_f (0 K) ... -0.2590 eV/atom
Magnetic moment ... 0.00 μB/cell

```
data_BaBe2GaIr
_cell_length_a 4.5793
_cell_length_b 4.5793
_cell_length_c 4.7756
_cell_angle_alpha 90.00
_cell_angle_beta 90.00
_cell_angle_gamma 90.00
_symmetry_space_group_name_H-M 'P 4/m m m'
_symmetry_Int_Tables_number 123
_symmetry_space_group_name_Hall '-P 4 2'
loop_
_atom_site_label
_atom_site_fract_x
_atom_site_fract_y
_atom_site_fract_z
Ba1 0.0000 0.0000 0.0000
Be1 0.0000 0.5000 0.5000
Ga1 0.5000 0.5000 0.0000
Ir1 0.5000 0.5000 0.5000
```